1.
Density functional theory data (GGA-PBE) for crystalline CeNdI2N at its relaxed geometry.

Cell: 4.226 4.226 15.597 Å, 90.00 90.00 90.00°
Fractional positions:
1 Ce 0.250 0.250 0.064
2 Ce 0.750 0.750 0.936
3 Nd 0.250 0.250 0.576
4 Nd 0.750 0.750 0.424
5 I 0.250 0.250 0.362
6 I 0.250 0.250 0.799
7 I 0.750 0.750 0.201
8 I 0.750 0.750 0.638
9 N 0.250 0.750 0.000
10 N 0.750 0.250 0.000

Properties
**Spin magnetization**: 0.84 μB per cell
**Density of states at the Fermi level**: 4.548 states/eV/f.u.
**Raw formation energy**: -1.320 eV per atom
**Symmetry**: P4/nmm
**VASP energy**: -5.7458 eV/atom


2.
Density functional theory data (GGA-PBE) for crystalline Ce6Os2I3N at its relaxed geometry.

Cell: 6.908 6.908 8.295 Å, 97.93 97.93 119.98°
Fractional positions:
1 Ce 0.060 0.369 0.178
2 Ce 0.248 0.248 0.819
3 Ce 0.369 0.060 0.178
4 Ce 0.631 0.940 0.822
5 Ce 0.752 0.752 0.181
6 Ce 0.940 0.631 0.822
7 Os 0.334 0.666 0.000
8 Os 0.666 0.334 0.000
9 I 0.172 0.828 0.500
10 I 0.500 0.500 0.500
11 I 0.828 0.172 0.500
12 N 0.000 0.000 0.000

Properties
**Spin magnetization**: 4.58 μB per cell
**Density of states at the Fermi level**: 27.463 states/eV/f.u.
**Raw formation energy**: -0.774 eV per atom
**Symmetry**: C2/m
**VASP energy**: -6.6941 eV/atom


3.
Density functional theory data (GGA-PBE) for crystalline CePmIN at its relaxed geometry.

Cell: 3.753 3.753 23.038 Å, 90.00 90.00 120.00°
Fractional positions:
1 Ce 0.000 0.000 0.000
2 Ce 0.333 0.667 0.667
3 Ce 0.667 0.333 0.333
4 Pm 0.000 0.000 0.781
5 Pm 0.333 0.667 0.448
6 Pm 0.667 0.333 0.115
7 I 0.000 0.000 0.555
8 I 0.333 0.667 0.222
9 I 0.667 0.333 0.889
10 N 0.000 0.000 0.387
11 N 0.333 0.667 0.054
12 N 0.667 0.333 0.720

Properties
**Spin magnetization**: 3.03 μB per cell
**Density of states at the Fermi level**: 4.141 states/eV/f.u.
**Raw formation energy**: -1.190 eV per atom
**Symmetry**: R3m
**VASP energy**: -6.3300 eV/atom


4.
Density functional theory data (GGA-PBE) for crystalline CePmIN2 at its relaxed geometry.

Cell: 7.368 4.235 8.147 Å, 90.00 105.81 90.00°
Fractional positions:
1 Ce 0.137 0.250 0.405
2 Ce 0.863 0.750 0.595
3 Pm 0.147 0.250 0.915
4 Pm 0.853 0.750 0.085
5 I 0.462 0.750 0.235
6 I 0.538 0.250 0.765
7 N 0.003 0.750 0.865
8 N 0.016 0.750 0.388
9 N 0.984 0.250 0.612
10 N 0.997 0.250 0.135

Properties
**Spin magnetization**: 0.00 μB per cell
**Raw formation energy**: -1.523 eV per atom
**Symmetry**: P2_1/m
**VASP energy**: -7.2997 eV/atom


Calculated density
In order: 6.6; 8.1; 7.6; 6.0
Unit: g cm⁻³